Record 1
## YH3Ru (PBE)

Data for crystalline YH3Ru at its relaxed geometry.

Cell lengths 3.714, 7.510, 7.524 Å; angles 90.00, 98.26, 90.00 degrees
Positions (direct):
Y (0.084, 0.033, 0.272)
Y (0.084, 0.467, 0.772)
Y (0.916, 0.533, 0.228)
Y (0.916, 0.967, 0.728)
H (0.053, 0.197, 0.973)
H (0.053, 0.303, 0.473)
H (0.354, 0.584, 0.050)
H (0.354, 0.916, 0.550)
H (0.462, 0.510, 0.372)
H (0.462, 0.990, 0.872)
H (0.538, 0.010, 0.128)
H (0.538, 0.490, 0.628)
H (0.646, 0.084, 0.450)
H (0.646, 0.416, 0.950)
H (0.947, 0.697, 0.527)
H (0.947, 0.803, 0.027)
Ru (0.437, 0.697, 0.518)
Ru (0.437, 0.803, 0.018)
Ru (0.563, 0.197, 0.982)
Ru (0.563, 0.303, 0.482)

Symmetry: No. 14
Final energy, eV/cell: -110.149

Record 2
## YH9Ru2 (PBE)

Data for crystalline YH9Ru2 at its relaxed geometry.

Cell lengths 6.270, 6.270, 6.270 Å; angles 99.70, 99.70, 131.52 degrees
Positions (direct):
Y (0.375, 0.625, 0.750)
Y (0.625, 0.375, 0.250)
H (0.125, 0.875, 0.250)
H (0.158, 0.593, 0.332)
H (0.158, 0.826, 0.565)
H (0.174, 0.239, 0.332)
H (0.174, 0.842, 0.935)
H (0.239, 0.174, 0.832)
H (0.239, 0.407, 0.065)
H (0.407, 0.239, 0.565)
H (0.407, 0.842, 0.168)
H (0.593, 0.158, 0.832)
H (0.593, 0.761, 0.435)
H (0.761, 0.593, 0.935)
H (0.761, 0.826, 0.168)
H (0.826, 0.158, 0.065)
H (0.826, 0.761, 0.668)
H (0.842, 0.174, 0.435)
H (0.842, 0.407, 0.668)
H (0.875, 0.125, 0.750)
Ru (0.000, 0.000, 0.000)
Ru (0.000, 0.000, 0.500)
Ru (0.000, 0.500, 0.000)
Ru (0.500, 0.000, 0.500)

Symmetry: No. 141
Final energy, eV/cell: -108.955

Record 3
## YHRu3 (PBE)

Data for crystalline YHRu3 at its relaxed geometry.

Cell lengths 5.003, 5.003, 5.003 Å; angles 90.00, 90.00, 90.00 degrees
Positions (direct):
Y (0.000, 0.000, 0.000)
H (0.500, 0.500, 0.500)
Ru (0.000, 0.000, 0.500)
Ru (0.000, 0.500, 0.000)
Ru (0.500, 0.000, 0.000)

Symmetry: No. 221
Energy relative to the lowest polymorph listed for this composition, eV/f.u.: 12.82

Record 4
## YHRu (PBE)

Data for crystalline YHRu at its relaxed geometry.

Cell lengths 3.493, 3.493, 7.786 Å; angles 90.00, 90.00, 90.00 degrees
Positions (direct):
Y (0.250, 0.250, 0.178)
Y (0.750, 0.750, 0.822)
H (0.250, 0.250, 0.888)
H (0.750, 0.750, 0.112)
Ru (0.250, 0.750, 0.500)
Ru (0.750, 0.250, 0.500)

Symmetry: No. 129
Final energy, eV/cell: -38.810

Record 5
## YH6Ru (PBE)

Data for crystalline YH6Ru at its relaxed geometry.

Cell lengths 4.545, 4.545, 4.545 Å; angles 58.91, 58.91, 58.91 degrees
Positions (direct):
Y (0.000, 0.000, 0.000)
H (0.051, 0.602, 0.602)
H (0.398, 0.398, 0.949)
H (0.398, 0.949, 0.398)
H (0.602, 0.051, 0.602)
H (0.602, 0.602, 0.051)
H (0.949, 0.398, 0.398)
Ru (0.500, 0.500, 0.500)

Symmetry: No. 166
Final energy, eV/cell: -37.220

Record 6
## Y2H8Ru (PBE)

Data for crystalline Y2H8Ru at its relaxed geometry.

Cell lengths 6.886, 6.886, 4.219 Å; angles 107.81, 107.81, 30.01 degrees
Positions (direct):
Y (0.146, 0.146, 0.146)
Y (0.854, 0.854, 0.854)
H (0.000, 0.000, 0.305)
H (0.000, 0.000, 0.695)
H (0.239, 0.239, 0.738)
H (0.388, 0.388, 0.160)
H (0.389, 0.389, 0.619)
H (0.611, 0.611, 0.381)
H (0.612, 0.612, 0.840)
H (0.761, 0.761, 0.262)
Ru (0.500, 0.500, 0.500)

Symmetry: No. 12
Final energy, eV/cell: -53.374

Record 7
## YZnH8Ru2 (PBE)

Data for crystalline YZnH8Ru2 at its relaxed geometry.

Cell lengths 4.598, 4.598, 6.519 Å; angles 90.00, 90.00, 120.00 degrees
Positions (direct):
Y (0.000, 0.000, 0.000)
Zn (0.000, 0.000, 0.500)
H (0.140, 0.280, 0.276)
H (0.140, 0.860, 0.276)
H (0.280, 0.140, 0.724)
H (0.333, 0.667, 0.088)
H (0.667, 0.333, 0.912)
H (0.720, 0.860, 0.276)
H (0.860, 0.140, 0.724)
H (0.860, 0.720, 0.724)
Ru (0.333, 0.667, 0.340)
Ru (0.667, 0.333, 0.660)

Symmetry: No. 164
Final energy, eV/cell: -52.090

Record 8
## ZnHRu2 (PBE)

Data for crystalline ZnHRu2 at its relaxed geometry.

Cell lengths 2.805, 2.805, 6.713 Å; angles 101.88, 101.88, 59.96 degrees
Positions (direct):
Zn (0.000, 0.000, 0.000)
H (0.833, 0.833, 0.499)
Ru (0.222, 0.222, 0.669)
Ru (0.444, 0.444, 0.330)

Symmetry: No. 8
Energy relative to the lowest polymorph listed for this composition, eV/f.u.: 0.00

Record 9
## Zn2H3Ru (PBE)

Data for crystalline Zn2H3Ru at its relaxed geometry.

Cell lengths 6.392, 5.716, 5.229 Å; angles 71.30, 57.90, 50.80 degrees
Positions (direct):
Zn (0.234, 0.766, 0.766)
Zn (0.250, 0.250, 0.250)
Zn (0.750, 0.750, 0.750)
Zn (0.766, 0.234, 0.234)
H (0.033, 0.744, 0.256)
H (0.256, 0.967, 0.033)
H (0.403, 0.403, 0.597)
H (0.597, 0.597, 0.403)
H (0.744, 0.033, 0.967)
H (0.967, 0.256, 0.744)
Ru (0.228, 0.228, 0.772)
Ru (0.772, 0.772, 0.228)

Symmetry: No. 69
Final energy, eV/cell: -42.776

Record 10
## ZnHRu2 (PBE)

Data for crystalline ZnHRu2 at its relaxed geometry.

Cell lengths 6.748, 6.748, 6.748 Å; angles 23.94, 23.94, 23.94 degrees
Positions (direct):
Zn (0.000, 0.000, 0.000)
H (0.500, 0.500, 0.500)
Ru (0.223, 0.223, 0.223)
Ru (0.777, 0.777, 0.777)

Symmetry: No. 166
Energy relative to the lowest polymorph listed for this composition, eV/f.u.: 0.10

Record 11
## Zn2HRu (PBE)

Data for crystalline Zn2HRu at its relaxed geometry.

Cell lengths 4.173, 4.173, 4.173 Å; angles 60.00, 60.00, 60.00 degrees
Positions (direct):
Zn (0.250, 0.250, 0.250)
Zn (0.750, 0.750, 0.750)
H (0.000, 0.000, 0.000)
Ru (0.500, 0.500, 0.500)

Symmetry: No. 225
Energy relative to the lowest polymorph listed for this composition, eV/f.u.: 2.92

Record 12
## Zn4H2Ru (PBE)

Data for crystalline Zn4H2Ru at its relaxed geometry.

Cell lengths 7.383, 7.383, 7.383 Å; angles 141.99, 141.99, 54.85 degrees
Positions (direct):
Zn (0.000, 0.500, 0.500)
Zn (0.183, 0.183, 0.000)
Zn (0.500, 0.000, 0.500)
Zn (0.817, 0.817, 0.000)
H (0.302, 0.302, 0.000)
H (0.698, 0.698, 0.000)
Ru (0.000, 0.000, 0.000)

Symmetry: No. 139
Final energy, eV/cell: -16.707

Record 13
## ZnH5Ru (PBE)

Data for crystalline ZnH5Ru at its relaxed geometry.

Cell lengths 4.346, 4.346, 4.346 Å; angles 101.05, 97.79, 132.28 degrees
Positions (direct):
Zn (0.000, 0.000, 0.000)
H (0.388, 0.185, 0.797)
H (0.388, 0.590, 0.203)
H (0.410, 0.639, 0.771)
H (0.818, 0.318, 0.500)
H (0.868, 0.639, 0.229)
Ru (0.298, 0.798, 0.500)

Symmetry: No. 44
Final energy, eV/cell: -25.199

Record 14
## Zn2HRu (PBE)

Data for crystalline Zn2HRu at its relaxed geometry.

Cell lengths 5.176, 5.176, 5.176 Å; angles 111.04, 104.65, 112.84 degrees
Positions (direct):
Zn (0.000, 0.229, 0.229)
Zn (0.000, 0.771, 0.771)
Zn (0.500, 0.229, 0.729)
Zn (0.500, 0.771, 0.271)
H (0.311, 0.561, 0.750)
H (0.689, 0.439, 0.250)
Ru (0.026, 0.276, 0.750)
Ru (0.974, 0.724, 0.250)

Symmetry: No. 74
Energy relative to the lowest polymorph listed for this composition, eV/f.u.: 0.00

Record 15
## ZnHRu2 (PBE)

Data for crystalline ZnHRu2 at its relaxed geometry.

Cell lengths 4.947, 4.947, 4.947 Å; angles 105.14, 105.14, 118.54 degrees
Positions (direct):
Zn (0.000, 0.000, 0.000)
Zn (0.750, 0.250, 0.500)
H (0.250, 0.750, 0.500)
H (0.500, 0.500, 0.000)
Ru (0.221, 0.125, 0.596)
Ru (0.375, 0.779, 0.904)
Ru (0.529, 0.625, 0.404)
Ru (0.875, 0.471, 0.096)

Symmetry: No. 122
Energy relative to the lowest polymorph listed for this composition, eV/f.u.: 0.91

Record 16
## Zn3HRu (PBE)

Data for crystalline Zn3HRu at its relaxed geometry.

Cell lengths 3.884, 3.884, 3.884 Å; angles 90.00, 90.00, 90.00 degrees
Positions (direct):
Zn (0.000, 0.000, 0.500)
Zn (0.000, 0.500, 0.000)
Zn (0.500, 0.000, 0.000)
H (0.000, 0.000, 0.000)
Ru (0.500, 0.500, 0.500)

Symmetry: No. 221
Energy relative to the lowest polymorph listed for this composition, eV/f.u.: 0.00

Record 17
## ZnHRu3 (PBE)

Data for crystalline ZnHRu3 at its relaxed geometry.

Cell lengths 3.894, 3.894, 3.894 Å; angles 90.00, 90.00, 90.00 degrees
Positions (direct):
Zn (0.000, 0.000, 0.000)
H (0.500, 0.500, 0.500)
Ru (0.000, 0.500, 0.500)
Ru (0.500, 0.000, 0.500)
Ru (0.500, 0.500, 0.000)

Symmetry: No. 221
Energy relative to the lowest polymorph listed for this composition, eV/f.u.: 0.00

Record 18
## Zn2HRu (PBE)

Data for crystalline Zn2HRu at its relaxed geometry.

Cell lengths 5.159, 5.159, 5.159 Å; angles 99.49, 99.49, 132.08 degrees
Positions (direct):
Zn (0.038, 0.625, 0.913)
Zn (0.375, 0.288, 0.413)
Zn (0.712, 0.125, 0.087)
Zn (0.875, 0.962, 0.587)
H (0.000, 0.000, 0.000)
H (0.750, 0.250, 0.500)
Ru (0.250, 0.750, 0.500)
Ru (0.500, 0.500, 0.000)

Symmetry: No. 122
Energy relative to the lowest polymorph listed for this composition, eV/f.u.: 0.94

Record 19
## ZnHRu3 (PBE)

Data for crystalline ZnHRu3 at its relaxed geometry.

Cell lengths 4.623, 4.623, 4.623 Å; angles 90.00, 90.00, 90.00 degrees
Positions (direct):
Zn (0.000, 0.000, 0.000)
H (0.500, 0.500, 0.500)
Ru (0.000, 0.000, 0.500)
Ru (0.000, 0.500, 0.000)
Ru (0.500, 0.000, 0.000)

Symmetry: No. 221
Energy relative to the lowest polymorph listed for this composition, eV/f.u.: 10.24

Record 20
## Zn2H6Ru (PBE)

Data for crystalline Zn2H6Ru at its relaxed geometry.

Cell lengths 5.400, 4.604, 7.944 Å; angles 90.00, 117.86, 90.00 degrees
Positions (direct):
Zn (0.080, 0.006, 0.357)
Zn (0.080, 0.494, 0.857)
Zn (0.920, 0.506, 0.143)
Zn (0.920, 0.994, 0.643)
H (0.243, 0.731, 0.058)
H (0.243, 0.769, 0.558)
H (0.264, 0.154, 0.973)
H (0.264, 0.346, 0.473)
H (0.266, 0.075, 0.218)
H (0.266, 0.425, 0.718)
H (0.734, 0.575, 0.282)
H (0.734, 0.925, 0.782)
H (0.736, 0.654, 0.527)
H (0.736, 0.846, 0.027)
H (0.757, 0.231, 0.442)
H (0.757, 0.269, 0.942)
Ru (0.000, 0.000, 0.000)
Ru (0.000, 0.500, 0.500)

Symmetry: No. 14
Final energy, eV/cell: -63.940

Record 21
## ZnH6Ru (PBE)

Data for crystalline ZnH6Ru at its relaxed geometry.

Cell lengths 2.985, 4.963, 5.142 Å; angles 92.31, 106.65, 106.59 degrees
Positions (direct):
Zn (0.000, 0.000, 0.000)
H (0.040, 0.306, 0.265)
H (0.259, 0.785, 0.251)
H (0.398, 0.498, 0.798)
H (0.602, 0.502, 0.202)
H (0.741, 0.215, 0.749)
H (0.960, 0.694, 0.735)
Ru (0.000, 0.500, 0.000)

Symmetry: No. 2
Final energy, eV/cell: -30.176

Record 22
## Zn2H7Ru (PBE)

Data for crystalline Zn2H7Ru at its relaxed geometry.

Cell lengths 5.661, 5.661, 5.979 Å; angles 101.48, 101.48, 76.05 degrees
Positions (direct):
Zn (0.054, 0.171, 0.155)
Zn (0.171, 0.054, 0.655)
Zn (0.829, 0.946, 0.345)
Zn (0.946, 0.829, 0.845)
H (0.167, 0.580, 0.680)
H (0.238, 0.403, 0.203)
H (0.280, 0.720, 0.250)
H (0.333, 0.522, 0.981)
H (0.403, 0.238, 0.703)
H (0.420, 0.833, 0.820)
H (0.478, 0.667, 0.519)
H (0.522, 0.333, 0.481)
H (0.580, 0.167, 0.180)
H (0.597, 0.762, 0.297)
H (0.667, 0.478, 0.019)
H (0.720, 0.280, 0.750)
H (0.762, 0.597, 0.797)
H (0.833, 0.420, 0.320)
Ru (0.487, 0.513, 0.750)
Ru (0.513, 0.487, 0.250)

Symmetry: No. 15
Final energy, eV/cell: -66.670

Record 23
## ZnHRu2 (PBE)

Data for crystalline ZnHRu2 at its relaxed geometry.

Cell lengths 4.072, 4.072, 4.072 Å; angles 60.00, 60.00, 60.00 degrees
Positions (direct):
Zn (0.000, 0.000, 0.000)
H (0.500, 0.500, 0.500)
Ru (0.250, 0.250, 0.250)
Ru (0.750, 0.750, 0.750)

Symmetry: No. 225
Energy relative to the lowest polymorph listed for this composition, eV/f.u.: 2.88